Zn2SiP (GGA-PBEsol, relaxed); DOS at the Fermi energy = 2.51 states/eV/cell; VASP energy = -26.78 eV per cell; space group = I-4m2, No. 119; density = 5.3 g/cm3; formation energy without anion corrections = 329 meV per atom
1.0
4.073 0.000 0.000
0.000 4.073 0.000
0.000 0.000 7.131
Zn Si P
4 2 2
Direct
0.000 0.000 0.000 Zn
0.000 0.500 0.250 Zn
0.500 0.000 0.750 Zn
0.500 0.500 0.500 Zn
0.000 0.500 0.750 Si
0.500 0.000 0.250 Si
0.000 0.000 0.500 P
0.500 0.500 0.000 P

---

Zn2SiP (GGA-PBEsol, relaxed); DOS at the Fermi energy = 1.77 states/eV/cell; VASP energy = -13.53 eV per cell; space group = Pmm2, No. 25; density = 5.3 g/cm3; formation energy without anion corrections = 294 meV per atom
1.0
2.627 0.000 0.000
0.000 3.952 0.000
0.000 0.000 5.761
Zn Si P
2 1 1
Direct
0.000 0.000 0.000 Zn
0.500 0.500 0.285 Zn
0.500 0.500 0.804 Si
0.000 0.000 0.466 P